# GGA-PBE SnAsOsAuCl, relaxed
data_SnAsOsAuCl
_chemical_formula_sum 'Sn1 As1 Os1 Au1 Cl1'
_cell_length_a 3.296
_cell_length_b 5.148
_cell_length_c 7.338
_cell_angle_alpha 79.83
_cell_angle_beta 89.90
_cell_angle_gamma 71.41
_space_group_name_H-M_alt 'P 1'
_space_group_IT_number 1
_space_group_name_Hall 'P 1'
loop_
_atom_site_label
_atom_site_type_symbol
_atom_site_fract_x
_atom_site_fract_y
_atom_site_fract_z
Sn1 Sn 0.000 0.000 0.000
As1 As 0.682 0.640 0.725
Os1 Os 0.272 0.458 0.970
Au1 Au 0.411 0.182 0.656
Cl1 Cl 0.281 0.440 0.302
# Excess energy over the best structure of this formula in the dataset = 18.3 meV per atom
# E = -4.948 eV/atom


# GGA-PBE LaPuGa, relaxed
data_LaPuGa
_chemical_formula_sum 'La2 Pu2 Ga2'
_cell_length_a 3.795
_cell_length_b 3.795
_cell_length_c 11.297
_cell_angle_alpha 90.00
_cell_angle_beta 90.00
_cell_angle_gamma 90.00
_space_group_name_H-M_alt 'I 4 m m'
_space_group_IT_number 107
_space_group_name_Hall 'I 4 -2'
loop_
_atom_site_label
_atom_site_type_symbol
_atom_site_fract_x
_atom_site_fract_y
_atom_site_fract_z
La1 La 0.000 0.000 0.000
Pu1 Pu 0.000 0.000 0.289
Ga1 Ga 0.000 0.000 0.657
# Excess energy over the best structure of this formula in the dataset = 0.0 meV per atom
# E = -7.651 eV/atom
# Formation energy from the elements = -0.223 eV/atom


# GGA-PBE In2SnBr2, relaxed
data_In2SnBr2
_chemical_formula_sum 'In4 Sn2 Br4'
_cell_length_a 7.841
_cell_length_b 7.841
_cell_length_c 5.040
_cell_angle_alpha 90.00
_cell_angle_beta 90.00
_cell_angle_gamma 90.00
_space_group_name_H-M_alt 'P 4/m b m'
_space_group_IT_number 127
_space_group_name_Hall '-P 4 2ab'
loop_
_atom_site_label
_atom_site_type_symbol
_atom_site_fract_x
_atom_site_fract_y
_atom_site_fract_z
In1 In 0.141 0.359 0.000
Sn1 Sn 0.000 0.000 0.000
Br1 Br 0.199 0.699 0.500
# Excess energy over the best structure of this formula in the dataset = 0.0 meV per atom
# E = -2.856 eV/atom


# GGA-PBE LiLuHgRh, relaxed
data_LiLuHgRh
_chemical_formula_sum 'Li4 Lu4 Hg4 Rh4'
_cell_length_a 6.643
_cell_length_b 6.643
_cell_length_c 6.643
_cell_angle_alpha 90.00
_cell_angle_beta 90.00
_cell_angle_gamma 90.00
_space_group_name_H-M_alt 'F -4 3 m'
_space_group_IT_number 216
_space_group_name_Hall 'F -4 2 3'
loop_
_atom_site_label
_atom_site_type_symbol
_atom_site_fract_x
_atom_site_fract_y
_atom_site_fract_z
Li1 Li 0.000 0.000 0.000
Lu1 Lu 0.250 0.250 0.250
Hg1 Hg 0.250 0.250 0.750
Rh1 Rh 0.000 0.000 0.500
# E = -3.980 eV/atom
# Formation energy from the elements = -0.458 eV/atom